## Na2TlVGa (PBE)

Data for a geometry-optimized Na2TlVGa structure.

Lattice parameters (Å, degrees): 5.6572 5.6572 4.9930 90.00 90.00 90.00
With the nearest neighbours (Å) after each atom.
Fractional coordinates of all 5 atoms:
Na: 0.0000 0.5000 0.0000  2 V 2.83
Na: 0.5000 0.0000 0.0000  2 V 2.83
Tl: 0.0000 0.0000 0.5000  8 Na 3.77, 4 Ga 4.00
V: 0.5000 0.5000 0.0000  2 Ga 2.50
Ga: 0.5000 0.5000 0.5000  2 V 2.50

Calculated values
The calculation puts the total energy at -13.69 eV per formula unit.